This record from the Alexandria database describes a geometry-optimized CaAl2O structure. The functional is GGA-PBEsol.

E_form (uncorrected) ... -16.610 kcal/mol of atoms
Mass density ... 2.297 Mg/m³
DOS at the Fermi energy ... 0.788 states/eV per atom
Volume ... 19.89 Å³/atom
Symmetry ... I-42d, No. 122

a b c (Å): 6.067 6.067 6.067
angles (deg): 119.51 119.51 90.86
Positions (direct):
Ca1 0.000 0.000 0.000
Ca2 0.750 0.250 0.500
Al1 0.305 0.125 0.680
Al2 0.375 0.695 0.820
Al3 0.445 0.625 0.320
Al4 0.875 0.555 0.180
O1 0.250 0.750 0.500
O2 0.500 0.500 0.000


This record from the Alexandria database describes a geometry-optimized CsBe2As2 structure. The functional is GGA-PBEsol.

Mass density ... 4.784 Mg/m³
DOS at the Fermi energy ... 0.278 states/eV per atom
Volume ... 20.88 Å³/atom
Symmetry ... I4/mmm, No. 139
Energy of formation ... -0.301 eV per atom

a b c (Å): 8.281 8.281 8.281
angles (deg): 154.59 154.59 36.24
Positions (direct):
Cs1 0.000 0.000 0.000
Be1 0.250 0.750 0.500
Be2 0.750 0.250 0.500
As1 0.340 0.340 0.000
As2 0.660 0.660 0.000


This record from the Alexandria database describes a geometry-optimized Zr5AlPb3 structure. The functional is GGA-PBEsol.

Mass density ... 9.465 Mg/m³
DOS at the Fermi energy ... 0.690 states/eV per atom
Volume ... 21.54 Å³/atom
Symmetry ... P6_3/mcm, No. 193
Energy of formation ... -0.412 eV per atom

a b c (Å): 8.727 8.727 5.877
angles (deg): 90.00 90.00 120.00
Positions (direct):
Zr1 0.000 0.269 0.250
Zr2 0.000 0.731 0.750
Zr3 0.269 0.000 0.250
Zr4 0.269 0.269 0.750
Zr5 0.333 0.667 0.000
Zr6 0.333 0.667 0.500
Zr7 0.667 0.333 0.000
Zr8 0.667 0.333 0.500
Zr9 0.731 0.000 0.750
Zr10 0.731 0.731 0.250
Al1 0.000 0.000 0.000
Al2 0.000 0.000 0.500
Pb1 0.000 0.385 0.750
Pb2 0.000 0.615 0.250
Pb3 0.385 0.000 0.750
Pb4 0.385 0.385 0.250
Pb5 0.615 0.000 0.250
Pb6 0.615 0.615 0.750


This record from the Alexandria database describes a geometry-optimized ZrAs2Au structure. The functional is GGA-PBEsol.

Mass density ... 9.393 Mg/m³
DOS at the Fermi energy ... 0.444 states/eV per atom
Volume ... 19.36 Å³/atom
Symmetry ... I-42d, No. 122
Energy of formation ... -0.239 eV per atom

a b c (Å): 5.893 5.893 5.893
angles (deg): 105.36 105.36 118.05
Positions (direct):
Zr1 0.000 0.000 0.000
Zr2 0.750 0.250 0.500
As1 0.148 0.125 0.523
As2 0.375 0.852 0.977
As3 0.602 0.625 0.477
As4 0.875 0.398 0.023
Au1 0.250 0.750 0.500
Au2 0.500 0.500 0.000